No. 1
The following is a GGA-PBE calculation of BaRhPb3 after structural relaxation, from the Alexandria database.

extended XYZ file:
```
5
Lattice="5.437 0.000 0.000 0.000 5.437 0.000 0.000 0.000 5.437" Properties=species:S:1:pos:R:3 pbc="T T T"
Pb 0.000 2.719 0.000
Pb 0.000 0.000 2.719
Pb 2.719 0.000 0.000
Rh 0.000 0.000 0.000
Ba 2.719 2.719 2.719
```

- volume (Å³/atom) = 32.15
- density of states at the Fermi level (states/eV per atom) = 1.3685
- size of the total moment (μB per cell) = 0.00
- energy of formation from the pure elements (eV per atom) = -0.135
- final energy (eV/atom) = -4.22

No. 2
The following is a GGA-PBE calculation of Ba3RhPb3 after structural relaxation, from the Alexandria database.

extended XYZ file:
```
14
Lattice="-4.918 0.535 -1.210 -1.836 -4.084 -5.061 -6.203 -11.540 9.391" Properties=species:S:1:pos:R:3 pbc="T T T"
Ba -6.982 -8.275 3.285
Ba -5.975 -6.815 -0.165
Ba -3.190 -3.608 0.651
Ba -9.767 -11.481 2.469
Ba -8.182 -11.495 6.736
Ba -4.775 -3.594 -3.617
Rh -6.341 -4.498 2.348
Rh -6.616 -10.592 0.771
Pb -8.896 -9.153 -0.044
Pb -4.061 -5.936 3.163
Pb -7.837 -14.058 4.201
Pb -5.120 -1.031 -1.082
Pb -7.778 -5.813 -3.110
Pb -5.179 -9.276 6.229
```

- volume (Å³/atom) = 36.21
- density of states at the Fermi level (states/eV per atom) = 0.4717
- size of the total moment (μB per cell) = 0.00
- energy of formation from the pure elements (eV per atom) = -0.468
- final energy (eV/atom) = -3.93

No. 3
The following is a GGA-PBE calculation of BaRhPb3 after structural relaxation, from the Alexandria database.

extended XYZ file:
```
5
Lattice="-5.389 -1.463 -2.588 -1.938 -2.335 5.355 -2.255 5.504 1.584" Properties=species:S:1:pos:R:3 pbc="T T T"
Pb -0.969 -1.168 2.678
Pb -1.127 2.752 0.792
Pb -2.695 -0.732 -1.294
Rh -4.791 0.853 2.175
Ba 0.000 0.000 0.000
```

- volume (Å³/atom) = 46.64
- density of states at the Fermi level (states/eV per atom) = 1.8468
- size of the total moment (μB per cell) = 1.19
- energy of formation from the pure elements (eV per atom) = 1.564
- final energy (eV/atom) = -2.52

No. 4
The following is a GGA-PBE calculation of BaRh2Pb after structural relaxation, from the Alexandria database.

extended XYZ file:
```
4
Lattice="3.303 0.000 0.000 0.000 3.811 0.000 0.000 0.000 7.618" Properties=species:S:1:pos:R:3 pbc="T T T"
Ba 0.000 0.000 3.465
Rh 0.000 0.000 0.320
Rh 1.652 1.906 1.370
Pb 1.652 1.906 6.272
```

- volume (Å³/atom) = 23.98
- density of states at the Fermi level (states/eV per atom) = 1.4069
- size of the total moment (μB per cell) = 0.41
- energy of formation from the pure elements (eV per atom) = 0.079
- final energy (eV/atom) = -5.00